PBE Co3PPb, relaxed; space-group type = Pm-3m (221); total DFT energy (no corrections) = -4.205 eV/atom; DOS at the Fermi energy = 20.9 states/eV/cell; energy relative to the elements = 182 kJ/mol of atoms
1.0
4.751 0.000 0.000
0.000 4.751 0.000
0.000 0.000 4.751
Co P Pb
3 1 1
direct
0.000 0.000 0.500 Co
0.000 0.500 0.000 Co
0.500 0.000 0.000 Co
0.500 0.500 0.500 P
0.000 0.000 0.000 Pb


PBE ScAlTl, relaxed; space-group type = R-3m (166); total DFT energy (no corrections) = -4.077 eV/atom; DOS at the Fermi energy = 3.3 states/eV/cell; energy relative to the elements = 7 kJ/mol of atoms
1.0
2.314 1.336 7.972
-2.314 1.336 7.972
0.000 -2.672 7.972
Sc Al Tl
2 2 2
direct
0.077 0.077 0.077 Sc
0.923 0.923 0.923 Sc
0.194 0.194 0.194 Al
0.806 0.806 0.806 Al
0.364 0.364 0.364 Tl
0.636 0.636 0.636 Tl


PBE ErZr2Rh, relaxed; space-group type = P4/mmm (123); total DFT energy (no corrections) = -7.538 eV/atom; DOS at the Fermi energy = 7.2 states/eV/cell; energy relative to the elements = -28 kJ/mol of atoms
1.0
3.372 0.000 0.000
0.000 3.372 0.000
0.000 0.000 7.697
Er Zr Rh
1 2 1
direct
0.000 0.000 0.000 Er
0.500 0.500 0.295 Zr
0.500 0.500 0.705 Zr
0.000 0.000 0.500 Rh


PBE Pm2GeBr, relaxed; space-group type = R3m (160); total DFT energy (no corrections) = -5.059 eV/atom; raw formation energy = -1.11 eV per atom; DOS at the Fermi energy = 2.6 states/eV/cell
1.0
2.106 1.216 7.570
-2.106 1.216 7.570
0.000 -2.432 7.570
Pm Ge Br
2 1 1
direct
0.000 0.000 0.000 Pm
0.195 0.195 0.195 Pm
0.597 0.597 0.597 Ge
0.767 0.767 0.767 Br


PBE NaTlCuCl4, relaxed; space-group type = P2_1/m (11); total DFT energy (no corrections) = -3.146 eV/atom; raw formation energy = -0.98 eV per atom; DOS at the Fermi energy = 11.5 states/eV/cell
1.0
6.942 0.000 0.000
0.000 6.875 0.000
-2.463 0.000 8.075
Na Tl Cu Cl
2 2 2 8
direct
0.222 0.250 0.055 Na
0.778 0.750 0.945 Na
0.273 0.250 0.568 Tl
0.727 0.750 0.432 Tl
0.230 0.750 0.821 Cu
0.770 0.250 0.179 Cu
0.005 0.503 0.772 Cl
0.005 0.997 0.772 Cl
0.438 0.750 0.655 Cl
0.451 0.750 0.077 Cl
0.549 0.250 0.923 Cl
0.562 0.250 0.345 Cl
0.995 0.003 0.228 Cl
0.995 0.497 0.228 Cl


PBE CeU2CrN5, relaxed; space-group type = I4/mcm (140); total DFT energy (no corrections) = -10.074 eV/atom; raw formation energy = -1.21 eV per atom; DOS at the Fermi energy = 24.0 states/eV/cell
1.0
-3.219 3.219 5.527
3.219 -3.219 5.527
3.219 3.219 -5.527
Ce U Cr N
2 4 2 10
direct
0.250 0.250 0.000 Ce
0.750 0.750 0.000 Ce
0.170 0.670 0.840 U
0.330 0.170 0.500 U
0.670 0.830 0.500 U
0.830 0.330 0.160 U
0.250 0.750 0.500 Cr
0.750 0.250 0.500 Cr
0.000 0.000 0.000 N
0.012 0.209 0.500 N
0.209 0.709 0.198 N
0.291 0.488 0.500 N
0.488 0.988 0.198 N
0.500 0.500 0.000 N
0.512 0.012 0.802 N
0.709 0.512 0.500 N
0.791 0.291 0.802 N
0.988 0.791 0.500 N


PBE PrDy7Y4, relaxed; space-group type = C2/m (12); total DFT energy (no corrections) = -4.971 eV/atom; DOS at the Fermi energy = 20.9 states/eV/cell; energy relative to the elements = 26 kJ/mol of atoms
1.0
6.039 -2.952 0.000
6.039 2.952 0.000
-5.981 0.000 11.188
Pr Dy Y
1 7 4
direct
0.000 0.000 0.000 Pr
0.060 0.060 0.329 Dy
0.210 0.210 0.922 Dy
0.367 0.367 0.497 Dy
0.500 0.500 0.000 Dy
0.633 0.633 0.503 Dy
0.790 0.790 0.078 Dy
0.940 0.940 0.671 Dy
0.249 0.249 0.683 Y
0.369 0.369 0.225 Y
0.631 0.631 0.775 Y
0.751 0.751 0.317 Y


PBE CaTeBr2F, relaxed; space-group type = P4/mmm (123); total DFT energy (no corrections) = -2.728 eV/atom; raw formation energy = -0.66 eV per atom; DOS at the Fermi energy = 12.3 states/eV/cell
1.0
5.500 0.000 0.000
0.000 5.500 0.000
0.000 0.000 6.669
Ca Te Br F
1 1 2 1
direct
0.000 0.000 0.000 Ca
0.000 0.000 0.500 Te
0.000 0.500 0.000 Br
0.500 0.000 0.000 Br
0.500 0.500 0.500 F


Which of these has the lowest total DFT energy (no corrections)? CeU2CrN5


Which of these has the highest total DFT energy (no corrections)? CaTeBr2F


Look up the total DFT energy (no corrections) of the fourth one. -5.059 eV/atom


total DFT energy (no corrections) of number 7 (PrDy7Y4)? -4.971 eV/atom